Density functional theory data (PBE) for a relaxed structure of Er2Al2Pt3Au.

Properties
The value obtained for the final energy is -5.86 eV/atom.

Cell: 4.374 4.374 9.124 Å, 90.00 90.00 120.00°
Fractional coordinates of all 8 atoms:
Al1 0.333 0.667 0.022
Al2 0.333 0.667 0.497
Au1 0.000 0.000 0.910
Er1 0.000 0.000 0.252
Er2 0.667 0.333 0.741
Pt1 0.667 0.333 0.080
Pt2 0.667 0.333 0.415
Pt3 0.000 0.000 0.583

=====

Density functional theory data (PBE) for a relaxed structure of NbGeTe.

Properties
The value obtained for the final energy is -5.67 eV/atom.

Cell: 4.662 4.662 4.662 Å, 60.00 60.00 60.00°
Fractional coordinates of all 3 atoms:
Ge1 0.250 0.250 0.250
Nb1 0.000 0.000 0.000
Te1 0.750 0.750 0.750

=====

Density functional theory data (PBE) for a relaxed structure of Nd2GePd.

Properties
The value obtained for the final energy is -5.65 eV/atom.

Cell: 4.408 5.974 5.974 Å, 40.02 90.00 90.00°
Fractional coordinates of all 4 atoms:
Ge1 0.500 0.919 0.919
Nd1 0.000 0.363 0.363
Nd2 0.500 0.638 0.638
Pd1 0.000 0.080 0.080

=====

Density functional theory data (PBE) for a relaxed structure of SrCu2Hg.

Properties
The value obtained for the final energy is -2.27 eV/atom.

Cell: 4.952 4.952 4.952 Å, 60.00 60.00 60.00°
Fractional coordinates of all 4 atoms:
Cu1 0.000 0.000 0.000
Cu2 0.750 0.750 0.750
Hg1 0.250 0.250 0.250
Sr1 0.500 0.500 0.500

=====

Density functional theory data (PBE) for a relaxed structure of TbBiAsO.

Properties
The value obtained for the final energy is -5.33 eV/atom. The distance to the lowest polymorph of the same formula comes out at 0.5974 eV per atom.

Cell: 4.893 4.893 7.375 Å, 90.00 90.00 90.00°
Fractional coordinates of all 8 atoms:
As1 0.000 0.500 0.313
As2 0.500 0.000 0.687
Bi1 0.500 0.000 0.075
Bi2 0.000 0.500 0.925
O1 0.000 0.000 0.000
O2 0.500 0.500 0.000
Tb1 0.000 0.000 0.500
Tb2 0.500 0.500 0.500

=====

Density functional theory data (PBE) for a relaxed structure of RbZrAsO.

Properties
The value obtained for the final energy is -6.33 eV/atom. The distance to the lowest polymorph of the same formula comes out at 0.0000 eV per atom.

Cell: 4.115 8.517 6.642 Å, 90.00 90.00 90.00°
Fractional coordinates of all 8 atoms:
As1 0.000 0.773 0.441
As2 0.000 0.227 0.941
O1 0.500 0.420 0.335
O2 0.500 0.580 0.835
Rb1 0.000 0.176 0.449
Rb2 0.000 0.824 0.949
Zr1 0.500 0.399 0.030
Zr2 0.500 0.601 0.530

=====

What is the final energy in the fifth record?
-5.33 eV/atom